Entry 1:
# Sc4As2C (PBE, optimized geometry)
data_Sc4As2C
_space_group_name_H-M_alt 'P 1'
_space_group_IT_number 1
_cell_length_a 3.587
_cell_length_b 7.279
_cell_length_c 7.087
_cell_angle_alpha 132.34
_cell_angle_beta 104.66
_cell_angle_gamma 90.00
loop_
_space_group_symop_operation_xyz
'x,y,z'
loop_
_atom_site_label
_atom_site_type_symbol
_atom_site_fract_x
_atom_site_fract_y
_atom_site_fract_z
As1 As 0.343 0.370 0.686
C1 C 0.000 0.000 0.000
As2 As 0.657 0.630 0.314
Sc1 Sc 0.936 0.218 0.872
Sc2 Sc 0.064 0.782 0.128
Sc3 Sc 0.647 0.237 0.294
Sc4 Sc 0.353 0.763 0.706
# DFT formation energy in eV per atom: -0.90
# Magnetization in μB/atom: 0.2115
# Electronic total energy in eV/atom: -7.164

---

Entry 2:
# K2MgGa2 (PBE, optimized geometry)
data_K2MgGa2
_space_group_name_H-M_alt 'P 1'
_space_group_IT_number 1
_cell_length_a 3.812
_cell_length_b 3.812
_cell_length_c 12.312
_cell_angle_alpha 81.09
_cell_angle_beta 81.09
_cell_angle_gamma 90.00
loop_
_space_group_symop_operation_xyz
'x,y,z'
loop_
_atom_site_label
_atom_site_type_symbol
_atom_site_fract_x
_atom_site_fract_y
_atom_site_fract_z
Ga1 Ga 0.750 0.250 0.500
Mg1 Mg 0.000 0.000 0.000
K1 K 0.381 0.381 0.238
Ga2 Ga 0.250 0.750 0.500
K2 K 0.619 0.619 0.762
# DFT formation energy in eV per atom: 0.12
# Magnetization in μB/atom: 0.0000
# Electronic total energy in eV/atom: -1.848
# Energy above the most stable polymorph in this dataset in eV/atom: 0.058

---

Entry 3:
# Sr2In4SnHg3 (PBE, optimized geometry)
data_Sr2In4SnHg3
_space_group_name_H-M_alt 'P 1'
_space_group_IT_number 1
_cell_length_a 4.872
_cell_length_b 4.872
_cell_length_c 12.277
_cell_angle_alpha 90.00
_cell_angle_beta 90.00
_cell_angle_gamma 90.00
loop_
_space_group_symop_operation_xyz
'x,y,z'
loop_
_atom_site_label
_atom_site_type_symbol
_atom_site_fract_x
_atom_site_fract_y
_atom_site_fract_z
Hg1 Hg 0.500 0.000 0.863
In1 In 0.500 0.500 0.000
Hg2 Hg 0.000 0.500 0.137
Hg3 Hg 0.000 0.000 0.500
Sr1 Sr 0.000 0.500 0.750
Sr2 Sr 0.500 0.000 0.250
In2 In 0.500 0.000 0.637
In3 In 0.000 0.000 0.000
In4 In 0.000 0.500 0.363
Sn1 Sn 0.500 0.500 0.500
# DFT formation energy in eV per atom: -0.30
# Magnetization in μB/atom: 0.0000
# Electronic total energy in eV/atom: -2.227

---

Entry 4:
# LaTb2TmAs4 (PBE, optimized geometry)
data_LaTb2TmAs4
_space_group_name_H-M_alt 'P 1'
_space_group_IT_number 1
_cell_length_a 4.186
_cell_length_b 7.245
_cell_length_c 7.239
_cell_angle_alpha 70.57
_cell_angle_beta 90.00
_cell_angle_gamma 90.00
loop_
_space_group_symop_operation_xyz
'x,y,z'
loop_
_atom_site_label
_atom_site_type_symbol
_atom_site_fract_x
_atom_site_fract_y
_atom_site_fract_z
Tb1 Tb 0.500 0.000 0.500
La1 La 0.000 0.500 0.500
Tb2 Tb 0.000 0.000 0.000
As1 As 0.500 0.757 0.240
As2 As 0.500 0.243 0.760
As3 As 0.000 0.249 0.243
As4 As 0.000 0.751 0.757
Tm1 Tm 0.500 0.500 0.000
# DFT formation energy in eV per atom: -1.52
# Magnetization in μB/atom: 0.0000
# Electronic total energy in eV/atom: -6.177

---

Entry 5:
# BaNi2Te (PBE, optimized geometry)
data_BaNi2Te
_space_group_name_H-M_alt 'P 1'
_space_group_IT_number 1
_cell_length_a 4.298
_cell_length_b 4.298
_cell_length_c 6.373
_cell_angle_alpha 70.29
_cell_angle_beta 70.29
_cell_angle_gamma 59.98
loop_
_space_group_symop_operation_xyz
'x,y,z'
loop_
_atom_site_label
_atom_site_type_symbol
_atom_site_fract_x
_atom_site_fract_y
_atom_site_fract_z
Ni1 Ni 0.736 0.736 0.792
Te1 Te 0.448 0.448 0.657
Ba1 Ba 0.257 0.257 0.229
Ni2 Ni 0.059 0.059 0.822
# Magnetization in μB/atom: 0.0000
# Electronic total energy in eV/atom: -4.529
# Energy relative to the elements, uncorrected in eV per atom: -0.372

---

Entry 6:
# LiSb2CI (PBE, optimized geometry)
data_LiSb2CI
_space_group_name_H-M_alt 'P 1'
_space_group_IT_number 1
_cell_length_a 5.024
_cell_length_b 5.024
_cell_length_c 5.181
_cell_angle_alpha 90.00
_cell_angle_beta 90.00
_cell_angle_gamma 90.00
loop_
_space_group_symop_operation_xyz
'x,y,z'
loop_
_atom_site_label
_atom_site_type_symbol
_atom_site_fract_x
_atom_site_fract_y
_atom_site_fract_z
Li1 Li 0.000 0.000 0.000
C1 C 0.500 0.500 0.500
Sb1 Sb 0.000 0.500 0.000
I1 I 0.000 0.000 0.500
Sb2 Sb 0.500 0.000 0.000
# Magnetization in μB/atom: 0.3139
# Electronic total energy in eV/atom: -2.599
# Energy above the most stable polymorph in this dataset in eV/atom: 0.921
# Energy relative to the elements, uncorrected in eV per atom: 1.588

---

Entry 7:
# ZrHO2F (PBE, optimized geometry)
data_ZrHO2F
_space_group_name_H-M_alt 'P 1'
_space_group_IT_number 1
_cell_length_a 4.148
_cell_length_b 4.148
_cell_length_c 4.247
_cell_angle_alpha 90.00
_cell_angle_beta 90.00
_cell_angle_gamma 90.00
loop_
_space_group_symop_operation_xyz
'x,y,z'
loop_
_atom_site_label
_atom_site_type_symbol
_atom_site_fract_x
_atom_site_fract_y
_atom_site_fract_z
O1 O 0.500 0.000 0.000
O2 O 0.000 0.500 0.000
F1 F 0.000 0.000 0.500
Zr1 Zr 0.000 0.000 0.000
H1 H 0.500 0.500 0.500
# Magnetization in μB/atom: 0.0000
# Electronic total energy in eV/atom: -6.432

---

Entry 8:
# NdTmSc (PBE, optimized geometry)
data_NdTmSc
_space_group_name_H-M_alt 'P 1'
_space_group_IT_number 1
_cell_length_a 4.805
_cell_length_b 4.805
_cell_length_c 8.113
_cell_angle_alpha 81.62
_cell_angle_beta 81.62
_cell_angle_gamma 89.90
loop_
_space_group_symop_operation_xyz
'x,y,z'
loop_
_atom_site_label
_atom_site_type_symbol
_atom_site_fract_x
_atom_site_fract_y
_atom_site_fract_z
Sc1 Sc 0.329 0.329 0.695
Nd1 Nd 0.177 0.177 0.324
Tm1 Tm 0.749 0.251 0.000
Nd2 Nd 0.823 0.823 0.676
Sc2 Sc 0.671 0.671 0.305
Tm2 Tm 0.251 0.749 0.000
# DFT formation energy in eV per atom: 0.18
# Magnetization in μB/atom: 0.0036
# Electronic total energy in eV/atom: -5.015
# Energy above the most stable polymorph in this dataset in eV/atom: 0.123

---

Entry 9:
# Sm5Y2Ho (PBE, optimized geometry)
data_Sm5Y2Ho
_space_group_name_H-M_alt 'P 1'
_space_group_IT_number 1
_cell_length_a 5.605
_cell_length_b 6.591
_cell_length_c 16.216
_cell_angle_alpha 90.00
_cell_angle_beta 90.00
_cell_angle_gamma 115.16
loop_
_space_group_symop_operation_xyz
'x,y,z'
loop_
_atom_site_label
_atom_site_type_symbol
_atom_site_fract_x
_atom_site_fract_y
_atom_site_fract_z
Y1 Y 0.224 0.448 0.869
Sm1 Sm 0.462 0.923 0.750
Sm2 Sm 0.078 0.156 0.091
Y2 Y 0.224 0.448 0.631
Sm3 Sm 0.384 0.768 0.448
Ho1 Ho 0.260 0.520 0.250
Ho2 Ho 0.740 0.480 0.750
Sm4 Sm 0.078 0.156 0.409
Sm5 Sm 0.922 0.844 0.591
Y3 Y 0.776 0.552 0.131
Sm6 Sm 0.384 0.768 0.052
Sm7 Sm 0.616 0.232 0.948
Sm8 Sm 0.538 0.077 0.250
Y4 Y 0.776 0.552 0.369
Sm9 Sm 0.616 0.232 0.552
Sm10 Sm 0.922 0.844 0.909
# DFT formation energy in eV per atom: 0.13
# Magnetization in μB/atom: 0.0000
# Electronic total energy in eV/atom: -5.005
# Energy above the most stable polymorph in this dataset in eV/atom: 0.010

---

Entry 10:
# Pm2FeOs (PBE, optimized geometry)
data_Pm2FeOs
_space_group_name_H-M_alt 'P 1'
_space_group_IT_number 1
_cell_length_a 4.142
_cell_length_b 4.143
_cell_length_c 7.361
_cell_angle_alpha 73.66
_cell_angle_beta 73.66
_cell_angle_gamma 60.01
loop_
_space_group_symop_operation_xyz
'x,y,z'
loop_
_atom_site_label
_atom_site_type_symbol
_atom_site_fract_x
_atom_site_fract_y
_atom_site_fract_z
Pm1 Pm 0.892 0.655 0.560
Fe1 Fe 0.473 0.236 0.819
Os1 Os 0.133 0.896 0.838
Pm2 Pm 0.713 0.475 0.100
# DFT formation energy in eV per atom: -0.04
# Magnetization in μB/atom: 0.5016
# Electronic total energy in eV/atom: -7.336

---

Entry 11:
# Al2CrPb (PBE, optimized geometry)
data_Al2CrPb
_space_group_name_H-M_alt 'P 1'
_space_group_IT_number 1
_cell_length_a 5.110
_cell_length_b 5.110
_cell_length_c 3.238
_cell_angle_alpha 90.00
_cell_angle_beta 90.00
_cell_angle_gamma 111.54
loop_
_space_group_symop_operation_xyz
'x,y,z'
loop_
_atom_site_label
_atom_site_type_symbol
_atom_site_fract_x
_atom_site_fract_y
_atom_site_fract_z
Al1 Al 0.000 0.000 0.000
Al2 Al 0.500 0.500 0.000
Cr1 Cr 0.500 0.000 0.500
Pb1 Pb 0.000 0.500 0.500
# DFT formation energy in eV per atom: 0.40
# Magnetization in μB/atom: 0.9148
# Electronic total energy in eV/atom: -4.804

---

Entry 12:
# TlCo2Br (PBE, optimized geometry)
data_TlCo2Br
_space_group_name_H-M_alt 'P 1'
_space_group_IT_number 1
_cell_length_a 3.174
_cell_length_b 5.721
_cell_length_c 4.184
_cell_angle_alpha 90.00
_cell_angle_beta 90.00
_cell_angle_gamma 90.00
loop_
_space_group_symop_operation_xyz
'x,y,z'
loop_
_atom_site_label
_atom_site_type_symbol
_atom_site_fract_x
_atom_site_fract_y
_atom_site_fract_z
Br1 Br 0.000 0.500 0.500
Tl1 Tl 0.500 0.000 0.500
Co1 Co 0.500 0.500 0.000
Co2 Co 0.000 0.000 0.000
# Magnetization in μB/atom: 0.7457
# Electronic total energy in eV/atom: -3.811
# Energy above the most stable polymorph in this dataset in eV/atom: 0.407
# Energy relative to the elements, uncorrected in eV per atom: 0.752

---

Calculated values (states/eV per cell) of Fermi-level density of states for the records, taken in order: 4.36, 2.65, 3.67, 0.84, 3.12, 5.14, 1.38, 10.77, 26.93, 3.44, 2.29, 5.84.